Sr2AlGaW2O7 | PBE+U | optimized geometry

a = 5.4789 Å, b = 6.0973 Å, c = 11.8593 Å
α = 104.39°, β = 103.22°, γ = 89.89°
Last column: magnetic moment on the atom in μB.
Sites, in units of the cell vectors:
1 Sr 0.8455 0.8651 0.6929  0.00
2 Sr 0.1678 0.1236 0.3124  0.01
3 Sr 0.3418 0.3077 0.6888  0.01
4 Sr 0.6684 0.6931 0.3190  0.00
5 Al 0.5474 0.4778 0.0171  -0.03
6 Al 0.9731 0.9983 0.0004  0.00
7 Ga 0.7778 0.3201 0.5053  0.01
8 Ga 0.2740 0.6720 0.4979  0.01
9 W 0.5564 0.0396 0.1168  0.92
10 W 0.9152 0.4557 0.8689  2.64
11 W 0.0602 0.5538 0.1328  2.71
12 W 0.4474 0.9502 0.8815  0.96
13 O 0.3020 0.3052 0.8981  0.03
14 O 0.1109 0.3969 0.4971  0.00
15 O 0.7897 0.1248 0.8788  0.01
16 O 0.1630 0.7191 0.3435  0.02
17 O 0.2012 0.2109 0.1153  0.04
18 O 0.7219 0.3780 0.1487  0.02
19 O 0.6132 0.5942 0.5019  0.00
20 O 0.9135 0.8835 0.1276  0.04
21 O 0.4077 0.7040 0.1136  0.02
22 O 0.6438 0.1064 0.3629  0.00
23 O 0.8206 0.2680 0.6568  0.01
24 O 0.2671 0.8931 0.6334  0.00
25 O 0.0958 0.7902 0.8874  0.03
26 O 0.5943 0.6427 0.8127  0.05

Calculated values
The calculation puts the total magnetic moment at 4.02 μB per formula unit. Its excess energy over the best structure of this formula in the dataset is 0.00 kJ/mol of atoms.